Record 1
Here is a relaxed MgBr crystal from the Alexandria database. Energies are from PBE.

Cell: 3.7487 3.7487 9.8669 Å, 90.00 90.00 120.00°
Last column: nearest neighbours and their distance in Å.
Sites, in units of the cell vectors:
Mg (0.3333, 0.6667, 0.0000)  3 Br 2.77
Mg (0.6667, 0.3333, 0.5000)  3 Br 2.77
Br (0.3333, 0.6667, 0.3250)  3 Mg 2.77
Br (0.6667, 0.3333, 0.8250)  3 Mg 2.77

formation energy without anion corrections = -0.55 eV/atom
magnetic moment = 0.00 μB per cell
D(E_F) = 2.4 states/eV per cell

Record 2
Here is a relaxed CaCu2GePt crystal from the Alexandria database. Energies are from PBE.

Cell: 6.0752 6.0752 6.0752 Å, 141.39 140.56 56.38°
Last column: nearest neighbours and their distance in Å.
Sites, in units of the cell vectors:
Ca (0.0000, 0.0000, 0.0000)  8 Cu 3.07-3.38, 4 Ge 3.15, 4 Pt 3.31-3.41
Cu (0.6024, 0.6024, 0.0000)  1 Ge 2.39, 2 Cu 2.53, 2 Pt 2.56
Cu (0.7460, 0.2460, 0.5000)  2 Ge 2.50, 2 Cu 2.53
Ge (0.3794, 0.3794, 0.0000)  3 Cu 2.39-2.50, 2 Pt 2.47
Pt (0.2454, 0.7454, 0.5000)  2 Ge 2.47, 2 Cu 2.56

energy of formation from the pure elements = -2.11 eV/f.u.
magnetic moment = 0.00 μB per cell
D(E_F) = 2.0 states/eV per cell

Record 3
Here is a relaxed ErU3Tl2O12 crystal from the Alexandria database. Energies are from PBE.

Cell: 7.9109 7.9109 7.9109 Å, 61.80 61.80 61.80°
Last column: nearest neighbours and their distance in Å.
Sites, in units of the cell vectors:
Er (0.0000, 0.0000, 0.0000)  6 O 2.25
U (0.0000, 0.0000, 0.5000)  6 O 1.97-2.14
U (0.0000, 0.5000, 0.0000)  6 O 1.97-2.14
U (0.5000, 0.0000, 0.0000)  6 O 1.97-2.14
Tl (0.3223, 0.3223, 0.3223)  6 O 3.04-3.05
Tl (0.6777, 0.6777, 0.6777)  6 O 3.04-3.05
O (0.0494, 0.6914, 0.6914)  2 U 2.14
O (0.0646, 0.0646, 0.6707)  1 U 1.97
O (0.0646, 0.6707, 0.0646)  1 U 1.97
O (0.3086, 0.3086, 0.9506)  2 U 2.14
O (0.3086, 0.9506, 0.3086)  2 U 2.14
O (0.3293, 0.9354, 0.9354)  1 U 1.97
O (0.6707, 0.0646, 0.0646)  1 U 1.97
O (0.6914, 0.0494, 0.6914)  2 U 2.14
O (0.6914, 0.6914, 0.0494)  2 U 2.14
O (0.9354, 0.3293, 0.9354)  1 U 1.97
O (0.9354, 0.9354, 0.3293)  1 U 1.97
O (0.9506, 0.3086, 0.3086)  2 U 2.14

formation energy without anion corrections = -2.67 eV/atom
magnetic moment = 0.00 μB per cell
D(E_F) = 17.2 states/eV per cell

Record 4
Here is a relaxed SnRh2C crystal from the Alexandria database. Energies are from PBE.

Cell: 4.3390 4.3390 4.3390 Å, 60.00 60.00 60.00°
Last column: nearest neighbours and their distance in Å.
Sites, in units of the cell vectors:
Sn (0.0000, 0.0000, 0.0000)  8 Rh 2.66
Rh (0.2500, 0.2500, 0.2500)  4 C 2.66, 4 Sn 2.66
Rh (0.7500, 0.7500, 0.7500)  4 Sn 2.66, 4 C 2.66
C (0.5000, 0.5000, 0.5000)  8 Rh 2.66

energy of formation from the pure elements = 3.90 eV/f.u.
magnetic moment = 0.54 μB per cell
D(E_F) = 3.9 states/eV per cell

Record 5
Here is a relaxed KMgPb2 crystal from the Alexandria database. Energies are from PBE.

Cell: 3.6801 4.5957 7.9712 Å, 90.00 90.00 90.00°
Last column: nearest neighbours and their distance in Å.
Sites, in units of the cell vectors:
K (0.0000, 0.0000, 0.0000)  2 K 3.68, 6 Pb 3.76-4.06, 4 Mg 3.88
Mg (0.5000, 0.5000, 0.3174)  5 Pb 3.10-3.25
Pb (0.0000, 0.0000, 0.4910)  4 Mg 3.25, 4 Pb 3.41
Pb (0.5000, 0.5000, 0.7064)  1 Mg 3.10, 4 Pb 3.41

energy of formation from the pure elements = -0.06 eV/f.u.
magnetic moment = 0.00 μB per cell
D(E_F) = 1.5 states/eV per cell

Record 6
Here is a relaxed PtCN3 crystal from the Alexandria database. Energies are from PBE.

Cell: 3.3963 3.3963 3.3963 Å, 90.00 90.00 90.00°
Last column: nearest neighbours and their distance in Å.
Sites, in units of the cell vectors:
Pt (0.0000, 0.0000, 0.0000)  12 N 2.40
C (0.5000, 0.5000, 0.5000)  6 N 1.70
N (0.0000, 0.5000, 0.5000)  2 C 1.70
N (0.5000, 0.0000, 0.5000)  2 C 1.70
N (0.5000, 0.5000, 0.0000)  2 C 1.70

formation energy without anion corrections = 2.53 eV/atom
magnetic moment = 0.00 μB per cell
D(E_F) = 1.7 states/eV per cell

Record 7
Here is a relaxed HgSb3S crystal from the Alexandria database. Energies are from PBE.

Cell: 5.2780 5.2780 5.2780 Å, 90.00 90.00 90.00°
Last column: nearest neighbours and their distance in Å.
Sites, in units of the cell vectors:
Hg (0.0000, 0.0000, 0.0000)  12 Sb 3.73
Sb (0.0000, 0.5000, 0.5000)  2 S 2.64
Sb (0.5000, 0.0000, 0.5000)  2 S 2.64
Sb (0.5000, 0.5000, 0.0000)  2 S 2.64
S (0.5000, 0.5000, 0.5000)  6 Sb 2.64

formation energy without anion corrections = 0.52 eV/atom
magnetic moment = 0.00 μB per cell
D(E_F) = 6.0 states/eV per cell

Record 8
Here is a relaxed TbThAlAg crystal from the Alexandria database. Energies are from PBE.

Cell: 5.2445 5.2445 5.2445 Å, 60.00 60.00 60.00°
Last column: nearest neighbours and their distance in Å.
Sites, in units of the cell vectors:
Tb (0.0000, 0.0000, 0.0000)  4 Al 3.21, 4 Ag 3.21
Th (0.5000, 0.5000, 0.5000)  4 Al 3.21, 4 Ag 3.21
Al (0.7500, 0.7500, 0.7500)  4 Tb 3.21, 4 Th 3.21
Ag (0.2500, 0.2500, 0.2500)  4 Th 3.21, 4 Tb 3.21

energy of formation from the pure elements = -0.80 eV/f.u.
magnetic moment = 0.00 μB per cell
D(E_F) = 5.4 states/eV per cell

Record 9
Here is a relaxed Li2BeCr crystal from the Alexandria database. Energies are from PBE.

Cell: 2.3135 2.3135 8.7579 Å, 90.00 90.00 90.00°
Last column: nearest neighbours and their distance in Å.
Sites, in units of the cell vectors:
Li (0.0000, 0.0000, 0.2363)  4 Li 2.31
Li (0.0000, 0.0000, 0.7637)  4 Li 2.31
Be (0.5000, 0.5000, 0.0000)  4 Be 2.31
Cr (0.5000, 0.5000, 0.5000)  4 Cr 2.31

energy of formation from the pure elements = 1.70 eV/f.u.
magnetic moment = 0.16 μB per cell
D(E_F) = 4.1 states/eV per cell

Record 10
Here is a relaxed Ta2NiW crystal from the Alexandria database. Energies are from PBE.

Cell: 3.3662 4.2499 4.4584 Å, 90.00 90.00 90.00°
Last column: nearest neighbours and their distance in Å.
Sites, in units of the cell vectors:
Ta (0.0000, 0.0000, 0.0000)  4 W 2.71, 4 Ta 2.79
Ta (0.5000, 0.0000, 0.5000)  4 Ni 2.71, 4 Ta 2.79
Ni (0.0000, 0.5000, 0.5000)  4 Ta 2.71, 4 W 2.79
W (0.5000, 0.5000, 0.0000)  4 Ta 2.71, 4 Ni 2.79

energy of formation from the pure elements = 0.29 eV/f.u.
magnetic moment = 0.00 μB per cell
D(E_F) = 4.7 states/eV per cell

Record 11
Here is a relaxed AuSBr3 crystal from the Alexandria database. Energies are from PBE.

Cell: 6.6720 7.1838 8.2566 Å, 103.54 104.76 99.44°
Last column: nearest neighbours and their distance in Å.
Sites, in units of the cell vectors:
Au (0.0000, 0.0000, 0.0000)  4 Br 2.49-2.58
Au (0.2510, 0.6822, 0.2570)  4 Br 2.49-2.58
S (0.5572, 0.3926, 0.7079)  1 S 1.86
S (0.7022, 0.2985, 0.5527)  1 S 1.86
Br (0.0198, 0.9342, 0.2932)  2 Au 2.55-2.58
Br (0.2325, 0.7491, 0.9646)  2 Au 2.55-2.58
Br (0.2648, 0.6223, 0.5438)  1 Au 2.49
Br (0.4879, 0.4478, 0.2176)  1 Au 2.51
Br (0.7624, 0.2338, 0.0387)  1 Au 2.51
Br (0.9839, 0.0578, 0.7121)  1 Au 2.49

formation energy without anion corrections = -0.01 eV/atom
magnetic moment = 1.04 μB per cell
D(E_F) = 2.3 states/eV per cell

Record 12
Here is a relaxed HoSi2Ru2 crystal from the Alexandria database. Energies are from PBE.

Cell: 5.6072 5.6072 5.6072 Å, 136.29 136.29 63.53°
Last column: nearest neighbours and their distance in Å.
Sites, in units of the cell vectors:
Ho (0.0000, 0.0000, 0.0000)  8 Ru 3.17, 10 Si 3.20-3.52
Si (0.3693, 0.3693, 0.0000)  4 Ru 2.38, 1 Si 2.49
Si (0.6307, 0.6307, 0.0000)  4 Ru 2.38, 1 Si 2.49
Ru (0.2500, 0.7500, 0.5000)  4 Si 2.38
Ru (0.7500, 0.2500, 0.5000)  4 Si 2.38

formation energy without anion corrections = -0.92 eV/atom
magnetic moment = 0.00 μB per cell
D(E_F) = 2.4 states/eV per cell

What is the formula in the third record? ErU3Tl2O12